Record 1
Compound: Ho4Er9Hg11
Source: Alexandria
Functional: PBE
Structure: relaxed

Output
space-group type = Cmmm, No. 65
energy relative to the elements = -0.37 eV/atom
N(E_F) = 22.22 states/eV/cell

Unit cell a=13.6120 b=13.6120 c=3.5310 alpha=90.00 beta=90.00 gamma=109.61
Positions (direct):
Ho 0.0775 0.2479 0.0000
Ho 0.2479 0.0775 0.0000
Ho 0.7521 0.9225 0.0000
Ho 0.9225 0.7521 0.0000
Er 0.0000 0.0000 0.0000
Er 0.1207 0.6488 0.0000
Er 0.2963 0.4772 0.0000
Er 0.3512 0.8793 0.0000
Er 0.4772 0.2963 0.0000
Er 0.5228 0.7037 0.0000
Er 0.6488 0.1207 0.0000
Er 0.7037 0.5228 0.0000
Er 0.8793 0.3512 0.0000
Hg 0.0882 0.4450 0.5000
Hg 0.1292 0.8708 0.5000
Hg 0.2786 0.2786 0.5000
Hg 0.3216 0.6784 0.5000
Hg 0.4450 0.0882 0.5000
Hg 0.5000 0.5000 0.5000
Hg 0.5550 0.9118 0.5000
Hg 0.6784 0.3216 0.5000
Hg 0.7214 0.7214 0.5000
Hg 0.8708 0.1292 0.5000
Hg 0.9118 0.5550 0.5000



Record 2
Compound: HoEr3Hg4
Source: Alexandria
Functional: PBE
Structure: relaxed

Output
space-group type = P4/mmm, No. 123
energy relative to the elements = -0.48 eV/atom
N(E_F) = 6.80 states/eV/cell

Unit cell a=5.2010 b=5.2010 c=7.4560 alpha=90.00 beta=90.00 gamma=90.00
Positions (direct):
Ho 0.0000 0.0000 0.0000
Er 0.0000 0.0000 0.5000
Er 0.5000 0.5000 0.0000
Er 0.5000 0.5000 0.5000
Hg 0.0000 0.5000 0.2511
Hg 0.0000 0.5000 0.7489
Hg 0.5000 0.0000 0.2511
Hg 0.5000 0.0000 0.7489



Record 3
Compound: HoErInHg
Source: Alexandria
Functional: PBE
Structure: relaxed

Output
space-group type = F-43m, No. 216
energy relative to the elements = -0.45 eV/atom
N(E_F) = 4.48 states/eV/cell

Unit cell a=5.2693 b=5.2693 c=5.2693 alpha=60.00 beta=60.00 gamma=60.00
Positions (direct):
Ho 0.0000 0.0000 0.0000
Er 0.5000 0.5000 0.5000
In 0.2500 0.2500 0.2500
Hg 0.7500 0.7500 0.7500